Density functional theory data (PBE) for HoErAlGa after structural relaxation.

```
data_HoErAlGa
_symmetry_space_group_name_H-M 'F -4 3 m'
_symmetry_Int_Tables_number 216
_symmetry_space_group_name_Hall 'F -4 2 3'
_cell_length_a 7.136
_cell_length_b 7.136
_cell_length_c 7.136
_cell_angle_alpha 90.00
_cell_angle_beta 90.00
_cell_angle_gamma 90.00
loop_
_atom_site_label
_atom_site_type_symbol
_atom_site_fract_x
_atom_site_fract_y
_atom_site_fract_z
Ho1 Ho 0.000 0.000 0.000
Er1 Er 0.000 0.000 0.500
Al1 Al 0.250 0.250 0.750
Ga1 Ga 0.250 0.250 0.250
```

The value obtained for the magnetization is 0.00 μB/f.u. Its calculated formation energy is -0.477 eV/atom. The calculation puts the volume at 22.71 Å³/atom.

=====

Density functional theory data (PBE) for Mn3HgI9 after structural relaxation.

```
data_Mn3HgI9
_symmetry_space_group_name_H-M 'C 1 c 1'
_symmetry_Int_Tables_number 9
_cell_length_a 21.624
_cell_length_b 10.451
_cell_length_c 15.172
_cell_angle_alpha 90.00
_cell_angle_beta 133.82
_cell_angle_gamma 90.00
loop_
_symmetry_equiv_pos_as_xyz
'x,y,z'
'x,-y,z+1/2'
'x+1/2,y+1/2,z'
'x+1/2,-y+1/2,z+1/2'
loop_
_atom_site_label
_atom_site_type_symbol
_atom_site_fract_x
_atom_site_fract_y
_atom_site_fract_z
Mn1 Mn 0.000 0.000 0.000
Mn2 Mn 0.270 0.396 0.093
Mn3 Mn 0.361 0.120 0.978
Hg1 Hg 0.118 0.372 0.235
I1 I 0.006 0.436 0.704
I2 I 0.032 0.133 0.182
I3 I 0.136 0.444 0.072
I4 I 0.137 0.108 0.575
I5 I 0.231 0.178 0.965
I6 I 0.269 0.387 0.492
I7 I 0.302 0.055 0.313
I8 I 0.370 0.334 0.884
I9 I 0.431 0.342 0.307
```

The value obtained for the magnetization is 14.00 μB/f.u. The energy relative to the elements, uncorrected is -0.3141 eV per atom. The calculation puts the volume at 47.58 Å³/atom.

=====

Density functional theory data (PBE) for Zr2SnPd after structural relaxation.

```
data_Zr2SnPd
_symmetry_space_group_name_H-M 'I -4 2 d'
_symmetry_Int_Tables_number 122
_symmetry_space_group_name_Hall 'I -4 2bw'
_cell_length_a 7.752
_cell_length_b 7.752
_cell_length_c 5.868
_cell_angle_alpha 90.00
_cell_angle_beta 90.00
_cell_angle_gamma 90.00
loop_
_atom_site_label
_atom_site_type_symbol
_atom_site_fract_x
_atom_site_fract_y
_atom_site_fract_z
Zr1 Zr 0.224 0.250 0.125
Sn1 Sn 0.000 0.000 0.500
Pd1 Pd 0.000 0.000 0.000
```

The value obtained for the magnetization is 0.00 μB/f.u. Its calculated formation energy is -0.250 eV/atom. The calculation puts the volume at 22.04 Å³/atom.

=====

Density functional theory data (PBE) for Pm6Dy2HoEr3 after structural relaxation.

```
data_Pm6Dy2HoEr3
_symmetry_space_group_name_H-M 'C 1 2/m 1'
_symmetry_Int_Tables_number 12
_cell_length_a 6.225
_cell_length_b 10.780
_cell_length_c 11.783
_cell_angle_alpha 90.00
_cell_angle_beta 100.10
_cell_angle_gamma 90.00
loop_
_symmetry_equiv_pos_as_xyz
'x,y,z'
'-x,-y,-z'
'-x,y,-z'
'x,-y,z'
'x+1/2,y+1/2,z'
'-x+1/2,-y+1/2,-z'
'-x+1/2,y+1/2,-z'
'x+1/2,-y+1/2,z'
loop_
_atom_site_label
_atom_site_type_symbol
_atom_site_fract_x
_atom_site_fract_y
_atom_site_fract_z
Pm1 Pm 0.249 0.000 0.249
Pm2 Pm 0.249 0.333 0.249
Dy1 Dy 0.000 0.333 0.500
Ho1 Ho 0.000 0.000 0.500
Er1 Er 0.000 0.167 0.000
Er2 Er 0.000 0.500 0.000
```

The value obtained for the magnetization is 0.00 μB/f.u. Its calculated formation energy is 0.013 eV/atom. The calculation puts the volume at 32.44 Å³/atom.

=====

Density functional theory data (PBE) for Pm3In5 after structural relaxation.

```
data_Pm3In5
_symmetry_space_group_name_H-M 'C m m m'
_symmetry_Int_Tables_number 65
_symmetry_space_group_name_Hall '-C 2 2'
_cell_length_a 9.215
_cell_length_b 9.741
_cell_length_c 4.886
_cell_angle_alpha 90.00
_cell_angle_beta 90.00
_cell_angle_gamma 90.00
loop_
_atom_site_label
_atom_site_type_symbol
_atom_site_fract_x
_atom_site_fract_y
_atom_site_fract_z
Pm1 Pm 0.000 0.000 0.000
Pm2 Pm 0.000 0.274 0.500
In1 In 0.000 0.500 0.000
In2 In 0.234 0.000 0.500
In3 In 0.250 0.250 0.000
```

The value obtained for the magnetization is 0.00 μB/f.u. Its calculated formation energy is -0.450 eV/atom. The calculation puts the volume at 27.41 Å³/atom.

=====

Density functional theory data (PBE) for MnB2HSe after structural relaxation.

```
data_MnB2HSe
_symmetry_space_group_name_H-M 'P 4/m m m'
_symmetry_Int_Tables_number 123
_symmetry_space_group_name_Hall '-P 4 2'
_cell_length_a 3.211
_cell_length_b 3.211
_cell_length_c 4.834
_cell_angle_alpha 90.00
_cell_angle_beta 90.00
_cell_angle_gamma 90.00
loop_
_atom_site_label
_atom_site_type_symbol
_atom_site_fract_x
_atom_site_fract_y
_atom_site_fract_z
Mn1 Mn 0.000 0.000 0.000
B1 B 0.000 0.500 0.500
H1 H 0.500 0.500 0.500
Se1 Se 0.500 0.500 0.000
```

The value obtained for the magnetization is 0.00 μB/f.u. The value obtained for the total energy is -4.51 eV/atom. The calculation puts the volume at 9.97 Å³/atom.

=====

Density functional theory data (PBE) for Sn4Te5I after structural relaxation.

```
data_Sn4Te5I
_symmetry_space_group_name_H-M 'P m m n'
_symmetry_Int_Tables_number 59
_cell_length_a 11.269
_cell_length_b 11.493
_cell_length_c 6.248
_cell_angle_alpha 90.00
_cell_angle_beta 90.00
_cell_angle_gamma 90.00
loop_
_symmetry_equiv_pos_as_xyz
'x,y,z'
'-x,-y,-z'
'-x+1/2,-y+1/2,z'
'x+1/2,y+1/2,-z'
'x+1/2,-y,-z'
'-x+1/2,y,z'
'-x,y+1/2,-z'
'x,-y+1/2,z'
loop_
_atom_site_label
_atom_site_type_symbol
_atom_site_fract_x
_atom_site_fract_y
_atom_site_fract_z
Sn1 Sn 0.012 0.250 0.023
Sn2 Sn 0.250 0.005 0.444
Te1 Te 0.023 0.001 0.755
Te2 Te 0.250 0.250 0.256
I1 I 0.250 0.750 0.240
```

The value obtained for the magnetization is 0.00 μB/f.u. The energy relative to the elements, uncorrected is -0.1122 eV per atom. The calculation puts the volume at 40.46 Å³/atom.

=====

Density functional theory data (PBE) for CdH after structural relaxation.

```
data_CdH
_symmetry_space_group_name_H-M 'C 1 2/m 1'
_symmetry_Int_Tables_number 12
_cell_length_a 10.779
_cell_length_b 3.264
_cell_length_c 3.484
_cell_angle_alpha 90.00
_cell_angle_beta 98.57
_cell_angle_gamma 90.00
loop_
_symmetry_equiv_pos_as_xyz
'x,y,z'
'-x,-y,-z'
'-x,y,-z'
'x,-y,z'
'x+1/2,y+1/2,z'
'-x+1/2,-y+1/2,-z'
'-x+1/2,y+1/2,-z'
'x+1/2,-y+1/2,z'
loop_
_atom_site_label
_atom_site_type_symbol
_atom_site_fract_x
_atom_site_fract_y
_atom_site_fract_z
Cd1 Cd 0.109 0.000 0.319
H1 H 0.200 0.500 0.224
```

The value obtained for the magnetization is 0.00 μB/f.u. The value obtained for the total energy is -1.83 eV/atom. The calculation puts the volume at 15.15 Å³/atom.

=====

Density functional theory data (PBE) for ReAsBr after structural relaxation.

```
data_ReAsBr
_symmetry_space_group_name_H-M 'F m m 2'
_symmetry_Int_Tables_number 42
_symmetry_space_group_name_Hall 'F 2 -2'
_cell_length_a 3.113
_cell_length_b 5.199
_cell_length_c 15.917
_cell_angle_alpha 90.00
_cell_angle_beta 90.00
_cell_angle_gamma 90.00
loop_
_atom_site_label
_atom_site_type_symbol
_atom_site_fract_x
_atom_site_fract_y
_atom_site_fract_z
Re1 Re 0.000 0.000 0.000
As1 As 0.000 0.000 0.620
Br1 Br 0.000 0.000 0.358
```

The value obtained for the magnetization is 0.00 μB/f.u. The energy relative to the elements, uncorrected is 0.6085 eV per atom. The calculation puts the volume at 21.47 Å³/atom.

=====

Density functional theory data (PBE) for Dy7HoIn4 after structural relaxation.

```
data_Dy7HoIn4
_symmetry_space_group_name_H-M 'C 1 2/m 1'
_symmetry_Int_Tables_number 12
_cell_length_a 14.514
_cell_length_b 5.661
_cell_length_c 10.381
_cell_angle_alpha 90.00
_cell_angle_beta 123.66
_cell_angle_gamma 90.00
loop_
_symmetry_equiv_pos_as_xyz
'x,y,z'
'-x,-y,-z'
'-x,y,-z'
'x,-y,z'
'x+1/2,y+1/2,z'
'-x+1/2,-y+1/2,-z'
'-x+1/2,y+1/2,-z'
'x+1/2,-y+1/2,z'
loop_
_atom_site_label
_atom_site_type_symbol
_atom_site_fract_x
_atom_site_fract_y
_atom_site_fract_z
Dy1 Dy 0.000 0.000 0.000
Dy2 Dy 0.064 0.500 0.397
Dy3 Dy 0.210 0.500 0.878
Dy4 Dy 0.224 0.000 0.666
Ho1 Ho 0.000 0.500 0.000
In1 In 0.059 0.000 0.753
In2 In 0.181 0.000 0.335
```

The value obtained for the magnetization is 0.00 μB/f.u. Its calculated formation energy is -0.091 eV/atom. The calculation puts the volume at 29.58 Å³/atom.

=====

Density functional theory data (PBE) for PmZn8Ni4 after structural relaxation.

```
data_PmZn8Ni4
_symmetry_space_group_name_H-M 'I 4/m m m'
_symmetry_Int_Tables_number 139
_symmetry_space_group_name_Hall '-I 4 2'
_cell_length_a 8.629
_cell_length_b 8.629
_cell_length_c 5.072
_cell_angle_alpha 90.00
_cell_angle_beta 90.00
_cell_angle_gamma 90.00
loop_
_atom_site_label
_atom_site_type_symbol
_atom_site_fract_x
_atom_site_fract_y
_atom_site_fract_z
Pm1 Pm 0.000 0.000 0.000
Zn1 Zn 0.000 0.224 0.500
Zn2 Zn 0.000 0.344 0.000
Ni1 Ni 0.250 0.250 0.250
```

The value obtained for the magnetization is 0.00 μB/f.u. Its calculated formation energy is -0.284 eV/atom. The calculation puts the volume at 14.53 Å³/atom.

=====

Density functional theory data (PBE) for CuRhCl2 after structural relaxation.

```
data_CuRhCl2
_symmetry_space_group_name_H-M 'R 3 m'
_symmetry_Int_Tables_number 160
_symmetry_space_group_name_Hall 'R 3 -2"'
_cell_length_a 3.4863
_cell_length_b 3.4863
_cell_length_c 22.4565
_cell_angle_alpha 90.00
_cell_angle_beta 90.00
_cell_angle_gamma 120.00
loop_
_atom_site_label
_atom_site_type_symbol
_atom_site_fract_x
_atom_site_fract_y
_atom_site_fract_z
Cu1 Cu 0.0000 0.0000 0.0000
Rh1 Rh 0.0000 0.0000 0.7401
Cl1 Cl 0.0000 0.0000 0.2762
Cl2 Cl 0.0000 0.0000 0.4601
```

The value obtained for the magnetization is 0.00 μB/f.u. The energy relative to the elements, uncorrected is -0.1789 eV per atom. The calculation puts the volume at 19.70 Å³/atom.

=====

Density functional theory data (PBE) for NaDyIn2Cl6 after structural relaxation.

```
data_NaDyIn2Cl6
_symmetry_space_group_name_H-M 'R 3'
_symmetry_Int_Tables_number 146
_symmetry_space_group_name_Hall 'R 3'
_cell_length_a 7.5512
_cell_length_b 7.5512
_cell_length_c 18.7286
_cell_angle_alpha 90.00
_cell_angle_beta 90.00
_cell_angle_gamma 120.00
loop_
_atom_site_label
_atom_site_type_symbol
_atom_site_fract_x
_atom_site_fract_y
_atom_site_fract_z
Na1 Na 0.0000 0.0000 0.0000
Dy1 Dy 0.0000 0.0000 0.4949
In1 In 0.0000 0.0000 0.2767
In2 In 0.0000 0.0000 0.7817
Cl1 Cl 0.0018 0.4293 0.2367
Cl2 Cl 0.0975 0.7375 0.0740
```

The value obtained for the magnetization is 0.00 μB/f.u. The energy relative to the elements, uncorrected is -1.6187 eV per atom. The calculation puts the volume at 30.83 Å³/atom.

=====

Density functional theory data (PBE) for ScCuPb2 after structural relaxation.

```
data_ScCuPb2
_symmetry_space_group_name_H-M 'P 4/m m m'
_symmetry_Int_Tables_number 123
_symmetry_space_group_name_Hall '-P 4 2'
_cell_length_a 3.657
_cell_length_b 3.657
_cell_length_c 6.846
_cell_angle_alpha 90.00
_cell_angle_beta 90.00
_cell_angle_gamma 90.00
loop_
_atom_site_label
_atom_site_type_symbol
_atom_site_fract_x
_atom_site_fract_y
_atom_site_fract_z
Sc1 Sc 0.000 0.000 0.000
Cu1 Cu 0.000 0.000 0.500
Pb1 Pb 0.500 0.500 0.271
```

The value obtained for the magnetization is 0.00 μB/f.u. Its calculated formation energy is 0.045 eV/atom. The calculation puts the volume at 22.89 Å³/atom.

=====

Density functional theory data (PBE) for Y2MnCo2 after structural relaxation.

```
data_Y2MnCo2
_symmetry_space_group_name_H-M 'P 4/m b m'
_symmetry_Int_Tables_number 127
_symmetry_space_group_name_Hall '-P 4 2ab'
_cell_length_a 6.719
_cell_length_b 6.719
_cell_length_c 4.102
_cell_angle_alpha 90.00
_cell_angle_beta 90.00
_cell_angle_gamma 90.00
loop_
_atom_site_label
_atom_site_type_symbol
_atom_site_fract_x
_atom_site_fract_y
_atom_site_fract_z
Y1 Y 0.182 0.318 0.000
Mn1 Mn 0.000 0.000 0.500
Co1 Co 0.120 0.620 0.500
```

The value obtained for the magnetization is 3.77 μB/f.u. Its calculated formation energy is -0.058 eV/atom. The calculation puts the volume at 18.52 Å³/atom.

=====

Density functional theory data (PBE) for Nd2DyErTm4 after structural relaxation.

```
data_Nd2DyErTm4
_symmetry_space_group_name_H-M 'P m m m'
_symmetry_Int_Tables_number 47
_cell_length_a 5.027
_cell_length_b 5.043
_cell_length_c 9.941
_cell_angle_alpha 90.00
_cell_angle_beta 90.00
_cell_angle_gamma 90.00
loop_
_symmetry_equiv_pos_as_xyz
'x,y,z'
'-x,-y,-z'
'-x,-y,z'
'x,y,-z'
'x,-y,-z'
'-x,y,z'
'-x,y,-z'
'x,-y,z'
loop_
_atom_site_label
_atom_site_type_symbol
_atom_site_fract_x
_atom_site_fract_y
_atom_site_fract_z
Nd1 Nd 0.000 0.000 0.000
Nd2 Nd 0.500 0.500 0.500
Dy1 Dy 0.000 0.000 0.500
Er1 Er 0.500 0.500 0.000
Tm1 Tm 0.000 0.500 0.249
Tm2 Tm 0.500 0.000 0.250
```

The value obtained for the magnetization is 0.00 μB/f.u. Its calculated formation energy is 0.025 eV/atom. The calculation puts the volume at 31.50 Å³/atom.

=====

Density functional theory data (PBE) for AgMoIr after structural relaxation.

```
data_AgMoIr
_symmetry_space_group_name_H-M 'I 4 m m'
_symmetry_Int_Tables_number 107
_symmetry_space_group_name_Hall 'I 4 -2'
_cell_length_a 2.837
_cell_length_b 2.837
_cell_length_c 12.035
_cell_angle_alpha 90.00
_cell_angle_beta 90.00
_cell_angle_gamma 90.00
loop_
_atom_site_label
_atom_site_type_symbol
_atom_site_fract_x
_atom_site_fract_y
_atom_site_fract_z
Ag1 Ag 0.000 0.000 0.000
Mo1 Mo 0.000 0.000 0.320
Ir1 Ir 0.000 0.000 0.679
```

The value obtained for the magnetization is 0.00 μB/f.u. Its calculated formation energy is 0.174 eV/atom. The calculation puts the volume at 16.14 Å³/atom.

=====

Density functional theory data (PBE) for HPb2Au after structural relaxation.

```
data_HPb2Au
_symmetry_space_group_name_H-M 'F m -3 m'
_symmetry_Int_Tables_number 225
_symmetry_space_group_name_Hall '-F 4 2 3'
_cell_length_a 6.976
_cell_length_b 6.976
_cell_length_c 6.976
_cell_angle_alpha 90.00
_cell_angle_beta 90.00
_cell_angle_gamma 90.00
loop_
_atom_site_label
_atom_site_type_symbol
_atom_site_fract_x
_atom_site_fract_y
_atom_site_fract_z
H1 H 0.000 0.000 0.000
Pb1 Pb 0.250 0.250 0.250
Au1 Au 0.000 0.000 0.500
```

The value obtained for the magnetization is 0.00 μB/f.u. The value obtained for the total energy is -3.24 eV/atom. The calculation puts the volume at 21.22 Å³/atom.

=====

Density functional theory data (PBE) for NpTaRu after structural relaxation.

```
data_NpTaRu
_symmetry_space_group_name_H-M 'C 1 2/m 1'
_symmetry_Int_Tables_number 12
_cell_length_a 15.038
_cell_length_b 2.880
_cell_length_c 5.179
_cell_angle_alpha 90.00
_cell_angle_beta 97.41
_cell_angle_gamma 90.00
loop_
_symmetry_equiv_pos_as_xyz
'x,y,z'
'-x,-y,-z'
'-x,y,-z'
'x,-y,z'
'x+1/2,y+1/2,z'
'-x+1/2,-y+1/2,-z'
'-x+1/2,y+1/2,-z'
'x+1/2,-y+1/2,z'
loop_
_atom_site_label
_atom_site_type_symbol
_atom_site_fract_x
_atom_site_fract_y
_atom_site_fract_z
Np1 Np 0.033 0.000 0.303
Ta1 Ta 0.160 0.000 0.819
Ru1 Ru 0.195 0.000 0.311
```

The value obtained for the magnetization is 0.01 μB/f.u. Its calculated formation energy is 0.367 eV/atom. The calculation puts the volume at 18.53 Å³/atom.

=====

Density functional theory data (PBE) for KTiPb2 after structural relaxation.

```
data_KTiPb2
_symmetry_space_group_name_H-M 'I -4 2 d'
_symmetry_Int_Tables_number 122
_symmetry_space_group_name_Hall 'I -4 2bw'
_cell_length_a 6.249
_cell_length_b 6.249
_cell_length_c 17.631
_cell_angle_alpha 90.00
_cell_angle_beta 90.00
_cell_angle_gamma 90.00
loop_
_atom_site_label
_atom_site_type_symbol
_atom_site_fract_x
_atom_site_fract_y
_atom_site_fract_z
K1 K 0.000 0.000 0.000
Ti1 Ti 0.000 0.000 0.500
Pb1 Pb 0.073 0.250 0.625
```

The value obtained for the magnetization is 0.00 μB/f.u. Its calculated formation energy is 0.343 eV/atom. The calculation puts the volume at 43.04 Å³/atom.